Below is a relaxed KCr3Se4O12 crystal, with properties calculated at the PBE with a Hubbard U level.

Properties
Density   4.364 g/cm³
Raw total energy   -5.83 eV/atom
M_tot   8.654 μB per formula unit

Unit cell a=6.6767 b=6.6767 c=6.6767 alpha=103.61 beta=103.61 gamma=103.61
Positions (direct):
K: 0.0000 0.0000 0.0000
Cr: 0.0000 0.5807 0.4193
Cr: 0.4193 0.0000 0.5807
Cr: 0.5807 0.4193 0.0000
Se: 0.1044 0.5000 0.8956
Se: 0.5000 0.5000 0.5000
Se: 0.5000 0.8956 0.1044
Se: 0.8956 0.1044 0.5000
O: 0.0487 0.2976 0.3840
O: 0.0638 0.9362 0.5000
O: 0.2976 0.3840 0.0487
O: 0.3143 0.6857 0.5000
O: 0.3840 0.0487 0.2976
O: 0.5000 0.0638 0.9362
O: 0.5000 0.3143 0.6857
O: 0.6160 0.7024 0.9513
O: 0.6857 0.5000 0.3143
O: 0.7024 0.9513 0.6160
O: 0.9362 0.5000 0.0638
O: 0.9513 0.6160 0.7024